This record from the Alexandria database describes crystalline Ho2VF8 at its relaxed geometry. The functional is GGA+U.

Structure (POSCAR):
```
Ho2VF8
1.0
6.669 -1.760 0.000
6.669 1.760 0.000
-1.252 0.000 5.865
Ho V F
2 1 8
Direct
0.180 0.180 0.203
0.820 0.820 0.797
0.500 0.500 0.500
0.026 0.026 0.312
0.209 0.209 0.839
0.329 0.329 0.512
0.399 0.399 0.962
0.601 0.601 0.038
0.671 0.671 0.488
0.791 0.791 0.161
0.974 0.974 0.688
```

Summary:
**VASP energy**: -6.534 eV per atom

This record from the Alexandria database describes crystalline HoV2F8 at its relaxed geometry. The functional is GGA+U.

Structure (POSCAR):
```
HoV2F8
1.0
4.453 -3.288 0.000
4.453 3.288 0.000
-1.221 0.000 5.158
Ho V F
1 2 8
Direct
0.000 0.000 0.000
0.315 0.315 0.534
0.685 0.685 0.466
0.045 0.650 0.710
0.161 0.161 0.762
0.350 0.955 0.290
0.444 0.444 0.267
0.556 0.556 0.733
0.650 0.045 0.710
0.839 0.839 0.238
0.955 0.350 0.290
```

Summary:
**VASP energy**: -6.281 eV per atom

This record from the Alexandria database describes crystalline HoVF5 at its relaxed geometry. The functional is GGA+U.

Structure (POSCAR):
```
HoVF5
1.0
4.599 -3.391 0.000
4.599 3.391 0.000
-3.144 0.000 6.986
Ho V F
2 2 10
Direct
0.049 0.951 0.750
0.951 0.049 0.250
0.500 0.500 0.000
0.500 0.500 0.500
0.176 0.809 0.037
0.191 0.824 0.463
0.227 0.279 0.372
0.279 0.227 0.872
0.378 0.622 0.750
0.622 0.378 0.250
0.721 0.773 0.128
0.773 0.721 0.628
0.809 0.176 0.537
0.824 0.191 0.963
```

Summary:
**VASP energy**: -6.550 eV per atom

This record from the Alexandria database describes crystalline HoV2F8 at its relaxed geometry. The functional is GGA+U.

Structure (POSCAR):
```
HoV2F8
1.0
5.008 -3.635 0.000
5.008 3.635 0.000
-0.166 0.000 4.297
Ho V F
1 2 8
Direct
0.000 0.000 0.000
0.380 0.380 0.741
0.620 0.620 0.259
0.125 0.673 0.752
0.183 0.183 0.742
0.327 0.875 0.248
0.410 0.410 0.245
0.590 0.590 0.755
0.673 0.125 0.752
0.817 0.817 0.258
0.875 0.327 0.248
```

Summary:
**VASP energy**: -6.322 eV per atom